Record 1
The following is a PBE calculation of crystalline AuICl4 at its relaxed geometry, from Alexandria via LeMat-Bulk.

```
AuICl4
1.0
3.7126 -7.6608 0.0000
3.7126 7.6608 0.0000
-1.0715 0.0000 8.0309
Au I Cl
2 2 8
Direct
0.0391 0.9609 0.7500
0.9609 0.0391 0.2500
0.3557 0.6443 0.2500
0.6443 0.3557 0.7500
0.0471 0.3493 0.3715
0.1271 0.2600 0.8721
0.2600 0.1271 0.3721
0.3493 0.0471 0.8715
0.6507 0.9529 0.1285
0.7400 0.8729 0.6279
0.8729 0.7400 0.1279
0.9529 0.6507 0.6285
```

Output
Calculated total energy ... -2.24 eV per atom
Calculated volume ... 457 Å³/cell
Symmetry ... C2/c, No. 15

Record 2
The following is a PBE calculation of crystalline Au2I4Cl at its relaxed geometry, from Alexandria via LeMat-Bulk.

```
Au2I4Cl
1.0
5.6819 -5.8089 0.0000
5.6819 5.8089 0.0000
-4.0984 0.0000 8.5212
Au I Cl
4 8 2
Direct
0.0094 0.5914 0.4627
0.0433 0.9567 0.5000
0.5914 0.0094 0.9627
0.9567 0.0433 0.0000
0.0396 0.3659 0.0090
0.2659 0.4830 0.3461
0.2817 0.9118 0.0092
0.3659 0.0396 0.5090
0.4830 0.2659 0.8461
0.7842 0.7989 0.5417
0.7989 0.7842 0.0417
0.9118 0.2817 0.5092
0.4702 0.5751 0.6247
0.5751 0.4702 0.1247
```

Output
Calculated total energy ... -2.13 eV per atom
Calculated volume ... 563 Å³/cell
Polymorph energy (0 for the lowest one) ... 21.6 meV per atom
Symmetry ... Cc, No. 9

Record 3
The following is a PBE calculation of crystalline AuI3Cl at its relaxed geometry, from Alexandria via LeMat-Bulk.

```
AuI3Cl
1.0
8.4761 0.0000 0.0000
0.0000 3.9353 0.0000
-1.1546 0.0000 13.0616
Au I Cl
2 6 2
Direct
0.2268 0.2500 0.3308
0.7732 0.7500 0.6692
0.0101 0.7500 0.3339
0.1489 0.2500 0.0176
0.4442 0.7500 0.3316
0.5558 0.2500 0.6684
0.8511 0.7500 0.9824
0.9899 0.2500 0.6661
0.2702 0.7500 0.6574
0.7298 0.2500 0.3426
```

Output
Calculated total energy ... -1.94 eV per atom
Calculated volume ... 436 Å³/cell
Polymorph energy (0 for the lowest one) ... 58.9 meV per atom
Symmetry ... P2_1/m, No. 11

Record 4
The following is a PBE calculation of crystalline AuI3Cl at its relaxed geometry, from Alexandria via LeMat-Bulk.

```
AuI3Cl
1.0
6.4620 0.0000 0.0000
-2.4513 7.9093 0.0000
-2.0237 -3.2568 9.7474
Au I Cl
2 6 2
Direct
0.0000 0.0000 0.0000
0.5000 0.5000 0.5000
0.1792 0.1866 0.4361
0.2521 0.7196 0.5404
0.2973 0.8360 0.0134
0.7027 0.1640 0.9866
0.7479 0.2804 0.4596
0.8208 0.8134 0.5639
0.2449 0.2580 0.9818
0.7551 0.7420 0.0182
```

Output
Calculated total energy ... -2.00 eV per atom
Calculated volume ... 498 Å³/cell
Polymorph energy (0 for the lowest one) ... 0.0 meV per atom
Symmetry ... P-1, No. 2